ZnCoPt after structural relaxation, computed with PBE-GGA.

## Properties
Crystal system   orthorhombic
Space group   Imm2, No. 44
ΔH_f (0 K)   -184 meV/atom

Lattice parameters (Å, degrees): 4.6101 4.6101 4.6101 145.38 132.33 60.24
Last column: magnetic moment on the atom in μB.
Element x y z (fractional)
Zn  0.6647  0.6647  0.0000  -0.03
Pt  0.3346  0.3346  0.0000  0.25
Co  0.0008  0.0008  0.0000  1.70



HfNi2Os after structural relaxation, computed with PBE-GGA.

## Properties
Crystal system   cubic
Space group   Fm-3m, No. 225
ΔH_f (0 K)   -113 meV/atom

Lattice parameters (Å, degrees): 4.3041 4.3041 4.3041 60.00 60.00 60.00
Element x y z (fractional)
Ni  0.7500  0.7500  0.7500
Hf  0.0000  0.0000  0.0000
Ni  0.2500  0.2500  0.2500
Os  0.5000  0.5000  0.5000



MgMnAl4 after structural relaxation, computed with PBE-GGA.

## Properties
Energy above the lowest structure with this stoichiometry   0.000 eV per atom
Crystal system   monoclinic
Space group   C2/c, No. 15
ΔH_f (0 K)   -26 meV/atom

Lattice parameters (Å, degrees): 4.7637 6.8118 6.8116 102.92 100.43 100.44
Element x y z (fractional)
Al  0.0628  0.9324  0.3022
Al  0.9371  0.0676  0.6978
Al  0.3721  0.8489  0.6599
Mg  0.2499  0.4091  0.5909
Mn  0.7500  0.0012  0.9988
Al  0.5628  0.3021  0.9323
Mg  0.7500  0.5909  0.4091
Al  0.1278  0.3401  0.1510
Al  0.6278  0.1510  0.3401
Mn  0.2500  0.9988  0.0012
Al  0.4372  0.6979  0.0677
Al  0.8722  0.6599  0.8490



Cu2AsHPd after structural relaxation, computed with PBE-GGA.

## Properties
Crystal system   tetragonal
Space group   P4/mmm, No. 123

Lattice parameters (Å, degrees): 3.9122 3.9122 3.9098 90.00 90.00 90.00
Element x y z (fractional)
Pd  0.0000  0.0000  0.5000
H  0.0000  0.0000  0.0000
Cu  0.5000  0.0000  0.0000
As  0.5000  0.5000  0.5000
Cu  0.0000  0.5000  0.0000



K2MgCdHg6 after structural relaxation, computed with PBE-GGA.

## Properties
Crystal system   orthorhombic
Space group   Immm, No. 71
ΔH_f (0 K)   -105 meV/atom

Lattice parameters (Å, degrees): 7.9470 7.9470 7.9782 59.86 59.86 89.97
Element x y z (fractional)
Cd  0.0000  0.0000  0.0000
K  0.2500  0.7500  0.5000
Hg  0.7460  0.2540  0.0000
Hg  0.7460  0.7460  0.9998
Hg  0.2542  0.2542  0.4920
Mg  0.5000  0.5000  0.0000
K  0.7500  0.2500  0.5000
Hg  0.7458  0.7458  0.5080
Hg  0.2540  0.2540  0.0002
Hg  0.2540  0.7460  0.0000



Na2Dy2I7 after structural relaxation, computed with PBE-GGA.

## Properties
Crystal system   monoclinic
Space group   C2/m, No. 12
ΔE_f (raw)   -1.143 eV/atom

Lattice parameters (Å, degrees): 7.6359 8.2271 8.2270 69.03 87.57 87.57
Last column: magnetic moment on the atom in μB.
Element x y z (fractional)
Na  0.5000  0.7121  0.2879  0.00
Na  0.5000  0.2879  0.7121  0.00
I  0.2466  0.4795  0.9119  0.00
I  0.2308  0.4195  0.4195  0.00
I  0.7534  0.0881  0.5205  0.00
Dy  0.9554  0.7697  0.7697  0.26
I  0.2466  0.9119  0.4795  0.00
I  0.7534  0.5205  0.0881  0.00
I  0.0000  0.0000  0.0000  0.00
I  0.7692  0.5805  0.5805  0.00
Dy  0.0446  0.2303  0.2303  0.26



TmTi2Mn after structural relaxation, computed with PBE-GGA.

## Properties
Crystal system   tetragonal
Space group   P4/mmm, No. 123
ΔH_f (0 K)   25 meV/atom

Lattice parameters (Å, degrees): 3.0602 3.0602 7.6839 90.00 90.00 90.00
Element x y z (fractional)
Mn  0.5000  0.5000  0.0000
Ti  0.0000  0.0000  0.8200
Ti  0.0000  0.0000  0.1800
Tm  0.5000  0.5000  0.5000



Rb2CdBSe4 after structural relaxation, computed with PBE-GGA.

## Properties
Crystal system   orthorhombic
Space group   Fddd, No. 70
ΔE_f (raw)   -0.578 eV/atom

Lattice parameters (Å, degrees): 6.5512 7.7419 11.6171 83.15 73.62 64.97
Element x y z (fractional)
B  0.5000  0.0000  0.0000
Cd  0.0000  0.0000  0.0000
Rb  0.8182  0.0000  0.3636
B  0.2500  0.5000  0.5000
Rb  0.5682  0.5000  0.8636
Se  0.8299  0.8289  0.8928
Se  0.9201  0.6711  0.6072
Se  0.2773  0.1711  0.8928
Se  0.4088  0.6711  0.3928
Se  0.4727  0.3289  0.6072
Se  0.5517  0.1711  0.1072
Cd  0.7500  0.5000  0.5000
Se  0.3412  0.8289  0.1072
Se  0.1983  0.3289  0.3928
Rb  0.1818  0.0000  0.6364
Rb  0.9318  0.5000  0.1364



YSn2HgH after structural relaxation, computed with PBE-GGA.

## Properties
Crystal system   tetragonal
Space group   P4/mmm, No. 123

Lattice parameters (Å, degrees): 4.8963 4.8963 4.4107 90.00 90.00 90.00
Element x y z (fractional)
Y  0.0000  0.0000  0.5000
Sn  0.5000  0.0000  0.0000
H  0.0000  0.0000  0.0000
Sn  0.0000  0.5000  0.0000
Hg  0.5000  0.5000  0.5000



Nd2Sn3GeRh4 after structural relaxation, computed with PBE-GGA.

## Properties
Crystal system   tetragonal
Space group   P-4m2, No. 115
ΔH_f (0 K)   -724 meV/atom

Lattice parameters (Å, degrees): 4.4635 4.4635 10.5637 90.00 90.00 90.00
Element x y z (fractional)
Rh  0.5000  0.0000  0.6222
Sn  0.0000  0.0000  0.5000
Nd  0.5000  0.0000  0.2579
Rh  0.0000  0.5000  0.3778
Rh  0.5000  0.5000  0.0000
Sn  0.0000  0.5000  0.1331
Nd  0.0000  0.5000  0.7421
Sn  0.5000  0.0000  0.8669
Ge  0.5000  0.5000  0.5000
Rh  0.0000  0.0000  0.0000



PmPrHo5 after structural relaxation, computed with PBE-GGA.

## Properties
Energy above the lowest structure with this stoichiometry   0.000 eV per atom
Crystal system   monoclinic
Space group   C2/c, No. 15
ΔH_f (0 K)   192 meV/atom

Lattice parameters (Å, degrees): 6.7712 6.7712 13.8602 61.15 61.15 60.51
Element x y z (fractional)
Ho  0.6973  0.6468  0.0018
Ho  0.6096  0.8249  0.7544
Pm  0.7244  0.2756  0.7500
Ho  0.3904  0.1751  0.2456
Ho  0.8249  0.6096  0.2544
Ho  0.1751  0.3904  0.7456
Ho  0.3027  0.3532  0.9982
Ho  0.3532  0.3027  0.4982
Pr  0.0000  0.0000  0.0000
Ho  0.6468  0.6973  0.5018
Ho  0.8357  0.1643  0.2500
Ho  0.1643  0.8357  0.7500
Pm  0.2756  0.7244  0.2500
Pr  0.0000  0.0000  0.5000



CaYZr2 after structural relaxation, computed with PBE-GGA.

## Properties
Energy above the lowest structure with this stoichiometry   0.025 eV per atom
Crystal system   trigonal
Space group   R3m, No. 160
ΔH_f (0 K)   189 meV/atom

Lattice parameters (Å, degrees): 11.5538 11.5538 11.5538 16.89 16.89 16.89
Element x y z (fractional)
Zr  0.9959  0.9959  0.9959
Ca  0.5045  0.5045  0.5045
Y  0.7420  0.7420  0.7420
Zr  0.2576  0.2576  0.2576



Ac2DyHg3 after structural relaxation, computed with PBE-GGA.

## Properties
Crystal system   tetragonal
Space group   P4/mmm, No. 123
ΔH_f (0 K)   -457 meV/atom

Lattice parameters (Å, degrees): 3.8700 3.8700 12.2017 90.00 90.00 90.00
Last column: magnetic moment on the atom in μB.
Element x y z (fractional)
Ac  0.5000  0.5000  0.1778  0.08
Dy  0.5000  0.5000  0.5000  0.05
Hg  0.0000  0.0000  0.0000  0.01
Ac  0.5000  0.5000  0.8222  0.08
Hg  0.0000  0.0000  0.3617  0.01
Hg  0.0000  0.0000  0.6383  0.01



| no. | D(E_F) (states/eV/f.u.) | total energy (eV per atom) |
| --- | --- | --- |
| 1 | 2.708 | -4.9904 |
| 2 | 8.170 | -8.2996 |
| 3 | 3.196 | -4.3147 |
| 4 | 1.872 | -4.2544 |
| 5 | 5.836 | -0.7563 |
| 6 | 3.603 | -3.2060 |
| 7 | 5.842 | -7.3324 |
| 8 | 4.604 | -3.5108 |
| 9 | 2.900 | -3.8102 |
| 10 | 5.108 | -6.2809 |
| 11 | 9.674 | -4.4392 |
| 12 | 6.371 | -6.2016 |
| 13 | 6.683 | -2.7444 |